Here is an optimized crystal structure of LiTbScSe3 from the Alexandria database. Energies are from PBE.

Properties
The value obtained for the total energy is -5.472 eV per atom. The density of states at the Fermi level comes out at 0.49 states/eV/atom. For the raw formation energy, the calculation gives -1583.5 meV per atom.

Unit cell a=8.047 b=3.893 c=8.654 alpha=90.00 beta=104.17 gamma=90.00
Fractional positions:
1 Li 0.091 0.250 0.089
2 Li 0.909 0.750 0.911
3 Tb 0.194 0.250 0.732
4 Tb 0.806 0.750 0.268
5 Sc 0.337 0.750 0.343
6 Sc 0.663 0.250 0.657
7 Se 0.097 0.250 0.375
8 Se 0.235 0.750 0.002
9 Se 0.434 0.750 0.670
10 Se 0.566 0.250 0.330
11 Se 0.765 0.250 0.998
12 Se 0.903 0.750 0.625

=====

Here is an optimized crystal structure of Li2ScTeSe4 from the Alexandria database. Energies are from PBE.

Properties
The value obtained for the total energy is -4.325 eV per atom. The density of states at the Fermi level comes out at 0.52 states/eV/atom. For the raw formation energy, the calculation gives -920.5 meV per atom.

Unit cell a=7.000 b=3.908 c=7.294 alpha=90.00 beta=113.59 gamma=90.00
Fractional positions:
1 Li 0.000 0.000 0.000
2 Li 0.000 0.500 0.500
3 Sc 0.500 0.000 0.500
4 Te 0.500 0.500 0.000
5 Se 0.237 0.500 0.277
6 Se 0.264 0.000 0.730
7 Se 0.736 0.000 0.270
8 Se 0.763 0.500 0.723